# Y2Al2Co15

Crystalline Y2Al2Co15 at its relaxed geometry (PBE, the Alexandria database).

Properties
As for the distance to the lowest polymorph of the same formula: 0.0136 eV/atom. For the uncorrected energy, the calculation gives -259.93 eV/cell. The formation energy comes out at -156 meV per atom. The calculation puts the calculated density at 7.56 Mg/m³.

abc: 8.2971 8.2971 8.2267
angles: 90.00 90.00 120.00
Atoms (fractional coordinates):
Y (0.0000, 0.0000, 0.2500)
Y (0.0000, 0.0000, 0.7500)
Y (0.3333, 0.6667, 0.2500)
Y (0.6667, 0.3333, 0.7500)
Al (0.3333, 0.6667, 0.5970)
Al (0.3333, 0.6667, 0.9030)
Al (0.6667, 0.3333, 0.0970)
Al (0.6667, 0.3333, 0.4030)
Co (0.0000, 0.5000, 0.0000)
Co (0.0000, 0.5000, 0.5000)
Co (0.0491, 0.3769, 0.7500)
Co (0.0491, 0.6721, 0.7500)
Co (0.1638, 0.3275, 0.0262)
Co (0.1638, 0.3275, 0.4738)
Co (0.1638, 0.8362, 0.0262)
Co (0.1638, 0.8362, 0.4738)
Co (0.3275, 0.1638, 0.5262)
Co (0.3275, 0.1638, 0.9738)
Co (0.3279, 0.3769, 0.7500)
Co (0.3279, 0.9509, 0.7500)
Co (0.3769, 0.0491, 0.2500)
Co (0.3769, 0.3279, 0.2500)
Co (0.5000, 0.0000, 0.0000)
Co (0.5000, 0.0000, 0.5000)
Co (0.5000, 0.5000, 0.0000)
Co (0.5000, 0.5000, 0.5000)
Co (0.6231, 0.6721, 0.7500)
Co (0.6231, 0.9509, 0.7500)
Co (0.6721, 0.0491, 0.2500)
Co (0.6721, 0.6231, 0.2500)
Co (0.6725, 0.8362, 0.0262)
Co (0.6725, 0.8362, 0.4738)
Co (0.8362, 0.1638, 0.5262)
Co (0.8362, 0.1638, 0.9738)
Co (0.8362, 0.6725, 0.5262)
Co (0.8362, 0.6725, 0.9738)
Co (0.9509, 0.3279, 0.2500)
Co (0.9509, 0.6231, 0.2500)

# Y4AlCo

Crystalline Y4AlCo at its relaxed geometry (PBE, the Alexandria database).

Properties
As for the distance to the lowest polymorph of the same formula: 0.0000 eV/atom. For the uncorrected energy, the calculation gives -75.84 eV/cell. The formation energy comes out at -203 meV per atom. The calculation puts the calculated density at 4.70 Mg/m³.

abc: 7.6326 7.6326 6.0084
angles: 99.53 99.53 111.18
Atoms (fractional coordinates):
Y (0.0574, 0.7265, 0.9569)
Y (0.2109, 0.3718, 0.6033)
Y (0.2735, 0.9426, 0.5431)
Y (0.3718, 0.2109, 0.1033)
Y (0.6282, 0.7891, 0.8967)
Y (0.7265, 0.0574, 0.4569)
Y (0.7891, 0.6282, 0.3967)
Y (0.9426, 0.2735, 0.0431)
Al (0.3759, 0.6241, 0.2500)
Al (0.6241, 0.3759, 0.7500)
Co (0.0010, 0.9990, 0.7500)
Co (0.9990, 0.0010, 0.2500)

# YAlCo

Crystalline YAlCo at its relaxed geometry (PBE, the Alexandria database).

Properties
For the uncorrected energy, the calculation gives -17.82 eV/cell. The formation energy comes out at -169 meV per atom. The calculation puts the calculated density at 4.83 Mg/m³.

abc: 4.3959 4.3959 4.3959
angles: 60.00 60.00 60.00
Atoms (fractional coordinates):
Y (0.0000, 0.0000, 0.0000)
Al (0.5000, 0.5000, 0.5000)
Co (0.7500, 0.7500, 0.7500)

# YAl11Co

Crystalline YAl11Co at its relaxed geometry (PBE, the Alexandria database).

Properties
For the uncorrected energy, the calculation gives -57.32 eV/cell. The formation energy comes out at -199 meV per atom. The calculation puts the calculated density at 3.39 Mg/m³.

abc: 6.7729 6.7729 7.1486
angles: 96.88 96.88 135.54
Atoms (fractional coordinates):
Y (0.0000, 0.0000, 0.0000)
Al (0.0000, 0.0000, 0.5000)
Al (0.0000, 0.5000, 0.0000)
Al (0.0163, 0.3619, 0.3610)
Al (0.2848, 0.4995, 0.7688)
Al (0.3619, 0.0163, 0.3610)
Al (0.5000, 0.0000, 0.0000)
Al (0.4995, 0.2848, 0.7688)
Al (0.5005, 0.7152, 0.2312)
Al (0.6381, 0.9837, 0.6390)
Al (0.7152, 0.5005, 0.2312)
Al (0.9837, 0.6381, 0.6390)
Co (0.5000, 0.5000, 0.5000)

# Y3Al2Co7

Crystalline Y3Al2Co7 at its relaxed geometry (PBE, the Alexandria database).

Properties
For the uncorrected energy, the calculation gives -80.36 eV/cell. The formation energy comes out at -312 meV per atom. The calculation puts the calculated density at 6.74 Mg/m³.

abc: 8.3662 8.3662 8.3662
angles: 35.96 35.96 35.96
Atoms (fractional coordinates):
Y (0.0000, 0.0000, 0.0000)
Y (0.1403, 0.1403, 0.1403)
Y (0.8597, 0.8597, 0.8597)
Al (0.3330, 0.3330, 0.3330)
Al (0.6670, 0.6670, 0.6670)
Co (0.0852, 0.5821, 0.5821)
Co (0.4179, 0.4179, 0.9148)
Co (0.4179, 0.9148, 0.4179)
Co (0.5000, 0.5000, 0.5000)
Co (0.5821, 0.0852, 0.5821)
Co (0.5821, 0.5821, 0.0852)
Co (0.9148, 0.4179, 0.4179)

# YAl12Co4

Crystalline YAl12Co4 at its relaxed geometry (PBE, the Alexandria database).

Properties
For the uncorrected energy, the calculation gives -82.06 eV/cell. The formation energy comes out at -133 meV per atom. The calculation puts the calculated density at 3.01 Mg/m³.

abc: 7.7481 7.7481 7.7481
angles: 109.47 109.47 109.47
Atoms (fractional coordinates):
Y (0.0000, 0.0000, 0.0000)
Al (0.0009, 0.2592, 0.7416)
Al (0.2584, 0.5176, 0.2592)
Al (0.2584, 0.9991, 0.7408)
Al (0.2592, 0.2584, 0.5176)
Al (0.2592, 0.7416, 0.0009)
Al (0.4824, 0.7408, 0.7416)
Al (0.5176, 0.2592, 0.2584)
Al (0.7408, 0.2584, 0.9991)
Al (0.7408, 0.7416, 0.4824)
Al (0.7416, 0.0009, 0.2592)
Al (0.7416, 0.4824, 0.7408)
Al (0.9991, 0.7408, 0.2584)
Co (0.0000, 0.0000, 0.5000)
Co (0.0000, 0.5000, 0.0000)
Co (0.5000, 0.0000, 0.0000)
Co (0.5000, 0.5000, 0.5000)

- The highest uncorrected energy belongs to which entry?
  YAlCo

Copy entry 1 word for word.
# Y2Al2Co15

Crystalline Y2Al2Co15 at its relaxed geometry (PBE, the Alexandria database).

Properties
As for the distance to the lowest polymorph of the same formula: 0.0136 eV/atom. For the uncorrected energy, the calculation gives -259.93 eV/cell. The formation energy comes out at -156 meV per atom. The calculation puts the calculated density at 7.56 Mg/m³.

abc: 8.2971 8.2971 8.2267
angles: 90.00 90.00 120.00
Atoms (fractional coordinates):
Y (0.0000, 0.0000, 0.2500)
Y (0.0000, 0.0000, 0.7500)
Y (0.3333, 0.6667, 0.2500)
Y (0.6667, 0.3333, 0.7500)
Al (0.3333, 0.6667, 0.5970)
Al (0.3333, 0.6667, 0.9030)
Al (0.6667, 0.3333, 0.0970)
Al (0.6667, 0.3333, 0.4030)
Co (0.0000, 0.5000, 0.0000)
Co (0.0000, 0.5000, 0.5000)
Co (0.0491, 0.3769, 0.7500)
Co (0.0491, 0.6721, 0.7500)
Co (0.1638, 0.3275, 0.0262)
Co (0.1638, 0.3275, 0.4738)
Co (0.1638, 0.8362, 0.0262)
Co (0.1638, 0.8362, 0.4738)
Co (0.3275, 0.1638, 0.5262)
Co (0.3275, 0.1638, 0.9738)
Co (0.3279, 0.3769, 0.7500)
Co (0.3279, 0.9509, 0.7500)
Co (0.3769, 0.0491, 0.2500)
Co (0.3769, 0.3279, 0.2500)
Co (0.5000, 0.0000, 0.0000)
Co (0.5000, 0.0000, 0.5000)
Co (0.5000, 0.5000, 0.0000)
Co (0.5000, 0.5000, 0.5000)
Co (0.6231, 0.6721, 0.7500)
Co (0.6231, 0.9509, 0.7500)
Co (0.6721, 0.0491, 0.2500)
Co (0.6721, 0.6231, 0.2500)
Co (0.6725, 0.8362, 0.0262)
Co (0.6725, 0.8362, 0.4738)
Co (0.8362, 0.1638, 0.5262)
Co (0.8362, 0.1638, 0.9738)
Co (0.8362, 0.6725, 0.5262)
Co (0.8362, 0.6725, 0.9738)
Co (0.9509, 0.3279, 0.2500)
Co (0.9509, 0.6231, 0.2500)

- What is the uncorrected energy in the fourth record?
  -57.32 eV/cell

- Which of these has the lowest uncorrected energy?
  Y2Al2Co15